## w
This record from Alexandria describes a geometry-optimized Be2SnO structure. The functional is PBE.

a b c (Å): 4.9887 4.9887 8.4454
angles (deg): 90.00 90.00 90.00
Space group I-42d (No. 122)
Unique sites:
Be (0.0928, 0.2500, 0.1250)
Sn (0.0000, 0.0000, 0.5000)
O (0.0000, 0.0000, 0.0000)

Properties
volume: 210.2 Å³ per cell
crystal system: tetragonal

## x
This record from Alexandria describes a geometry-optimized Be2SnO structure. The functional is PBE.

a b c (Å): 5.9873 5.9873 5.9873
angles (deg): 90.00 90.00 90.00
Space group Fm-3m (No. 225)
Unique sites:
Be (0.2500, 0.2500, 0.2500)
Sn (0.0000, 0.0000, 0.0000)
O (0.0000, 0.0000, 0.5000)

Properties
volume: 214.6 Å³ per cell
crystal system: cubic

Quick one: most stable of them? w

## w
This record from Alexandria describes a geometry-optimized SrBe3O structure. The functional is PBE.

a b c (Å): 4.1947 4.1947 4.1947
angles (deg): 90.00 90.00 90.00
Space group Pm-3m (No. 221)
Unique sites:
Sr (0.0000, 0.0000, 0.0000)
Be (0.0000, 0.5000, 0.5000)
O (0.5000, 0.5000, 0.5000)

Properties
volume: 73.8 Å³ per cell
crystal system: cubic

## x
This record from Alexandria describes a geometry-optimized SrBe3O structure. The functional is PBE.

a b c (Å): 5.9222 5.9222 5.9222
angles (deg): 90.00 90.00 90.00
Space group Pm-3m (No. 221)
Unique sites:
Sr (0.0000, 0.0000, 0.0000)
Be (0.0000, 0.0000, 0.5000)
O (0.5000, 0.5000, 0.5000)

Properties
volume: 207.7 Å³ per cell
crystal system: cubic

Quick one: most stable of them? w

## w
This record from Alexandria describes a geometry-optimized Ta2BeO6 structure. The functional is PBE.

a b c (Å): 11.4747 7.4363 4.9614
angles (deg): 90.00 90.00 90.00
Space group Pnma (No. 62)
Unique sites:
Ta (0.1334, 0.0028, 0.1107)
Be (0.0614, 0.7500, 0.6027)
O (0.0359, 0.5758, 0.7755)
O (0.1014, 0.7500, 0.2990)
O (0.1427, 0.2500, 0.9995)
O (0.2289, 0.0640, 0.4167)

Properties
volume: 423.4 Å³ per cell
crystal system: orthorhombic

## x
This record from Alexandria describes a geometry-optimized Ta2BeO6 structure. The functional is PBE.

a b c (Å): 10.6297 13.7357 3.9058
angles (deg): 90.00 111.52 90.00
Space group C2/c (No. 15)
Unique sites:
Ta (0.2491, 0.1005, 0.2260)
Be (0.0000, 0.2509, 0.7500)
O (0.1012, 0.1771, 0.0603)
O (0.1014, 0.3246, 0.6425)
O (0.2484, 0.0558, 0.7236)

Properties
volume: 530.5 Å³ per cell
crystal system: monoclinic

Quick one: most stable of them? w

## w
This record from Alexandria describes a geometry-optimized Be3TcO structure. The functional is PBE.

a b c (Å): 3.5673 3.5673 3.5673
angles (deg): 90.00 90.00 90.00
Space group Pm-3m (No. 221)
Unique sites:
Be (0.0000, 0.0000, 0.5000)
Tc (0.5000, 0.5000, 0.5000)
O (0.0000, 0.0000, 0.0000)

Properties
volume: 45.4 Å³ per cell
crystal system: cubic

## x
This record from Alexandria describes a geometry-optimized Be3TcO structure. The functional is PBE.

a b c (Å): 4.1915 4.1915 4.1915
angles (deg): 90.00 90.00 90.00
Space group Pm-3m (No. 221)
Unique sites:
Be (0.0000, 0.0000, 0.5000)
Tc (0.0000, 0.0000, 0.0000)
O (0.5000, 0.5000, 0.5000)

Properties
volume: 73.6 Å³ per cell
crystal system: cubic

Quick one: most stable of them? w